Below is crystalline Pb7Au at its relaxed geometry, with properties calculated at the PBE level.

Cell: 6.9536 6.9536 6.9536 Å, 60.00 60.00 60.00°
Sites, in units of the cell vectors:
1 Pb 0.0000 0.0000 0.0000
2 Pb 0.0000 0.0000 0.5000
3 Pb 0.0000 0.5000 0.0000
4 Pb 0.0000 0.5000 0.5000
5 Pb 0.5000 0.0000 0.0000
6 Pb 0.5000 0.0000 0.5000
7 Pb 0.5000 0.5000 0.0000
8 Au 0.5000 0.5000 0.5000

Properties
The value obtained for the total magnetic moment is 0.0 μB/cell. The calculated formation energy is 0.046 eV/atom. The volume comes out at 238 Å³/f.u.

---

Below is crystalline ZnInSe2Br at its relaxed geometry, with properties calculated at the PBE level.

Cell: 4.9224 4.9224 5.6188 Å, 90.00 90.00 90.00°
Sites, in units of the cell vectors:
1 Zn 0.0000 0.0000 0.0000
2 In 0.5000 0.5000 0.5000
3 Se 0.0000 0.5000 0.0000
4 Se 0.5000 0.0000 0.0000
5 Br 0.0000 0.0000 0.5000

Properties
The value obtained for the formation energy without anion corrections is -0.066 eV per atom. The value obtained for the total magnetic moment is 0.0 μB/cell. The volume comes out at 136 Å³/f.u. The excess energy over the best structure of this formula in the dataset comes out at 0.0 kJ per mole of atoms.

---

Below is crystalline MgAg at its relaxed geometry, with properties calculated at the PBE level.

Cell: 10.6120 10.6120 2.9906 Å, 90.00 90.00 90.00°
Sites, in units of the cell vectors:
1 Mg 0.1191 0.6536 0.0000
2 Mg 0.1536 0.3809 0.5000
3 Mg 0.3464 0.1191 0.0000
4 Mg 0.3809 0.8464 0.5000
5 Mg 0.6191 0.1536 0.5000
6 Mg 0.6536 0.8809 0.0000
7 Mg 0.8464 0.6191 0.5000
8 Mg 0.8809 0.3464 0.0000
9 Ag 0.0768 0.1702 0.0000
10 Ag 0.1702 0.9232 0.0000
11 Ag 0.3298 0.5768 0.5000
12 Ag 0.4232 0.3298 0.5000
13 Ag 0.5768 0.6702 0.5000
14 Ag 0.6702 0.4232 0.5000
15 Ag 0.8298 0.0768 0.0000
16 Ag 0.9232 0.8298 0.0000

Properties
The value obtained for the total magnetic moment is 0.0 μB/cell. The calculated formation energy is 0.032 eV/atom. The volume comes out at 42 Å³/f.u.

---

Below is crystalline NaIn2Te3 at its relaxed geometry, with properties calculated at the PBE level.

Cell: 8.7897 8.7897 6.2674 Å, 90.00 90.00 66.49°
Sites, in units of the cell vectors:
1 Na 0.1530 0.8470 0.5000
2 Na 0.8470 0.1530 0.0000
3 In 0.1758 0.4898 0.9966
4 In 0.4898 0.1758 0.4966
5 In 0.5102 0.8242 0.9966
6 In 0.8242 0.5102 0.4966
7 Te 0.1709 0.4721 0.4989
8 Te 0.1838 0.8162 0.0000
9 Te 0.4721 0.1709 0.9989
10 Te 0.5279 0.8291 0.4989
11 Te 0.8162 0.1838 0.5000
12 Te 0.8291 0.5279 0.9989

Properties
The value obtained for the formation energy without anion corrections is -0.430 eV per atom. The value obtained for the total magnetic moment is 0.0 μB/cell. The volume comes out at 222 Å³/f.u. The excess energy over the best structure of this formula in the dataset comes out at 0.0 kJ per mole of atoms.

---

Below is crystalline HPd3Pt at its relaxed geometry, with properties calculated at the PBE level.

Cell: 6.7624 6.7624 9.4237 Å, 110.86 110.86 40.84°
Sites, in units of the cell vectors:
1 H 0.2434 0.7566 0.7500
2 H 0.2473 0.7527 0.2500
3 H 0.7527 0.2473 0.7500
4 H 0.7566 0.2434 0.2500
5 Pd 0.0658 0.0700 0.6548
6 Pd 0.0700 0.0658 0.1548
7 Pd 0.1902 0.1913 0.9700
8 Pd 0.1913 0.1902 0.4700
9 Pd 0.4345 0.4376 0.5893
10 Pd 0.4376 0.4345 0.0893
11 Pd 0.5624 0.5655 0.9107
12 Pd 0.5655 0.5624 0.4107
13 Pd 0.8087 0.8098 0.5300
14 Pd 0.8098 0.8087 0.0300
15 Pd 0.9300 0.9342 0.8452
16 Pd 0.9342 0.9300 0.3452
17 Pt 0.3054 0.3105 0.7791
18 Pt 0.3105 0.3054 0.2791
19 Pt 0.6895 0.6946 0.7209
20 Pt 0.6946 0.6895 0.2209

Properties
The value obtained for the total magnetic moment is 0.0 μB/cell. The volume comes out at 65 Å³/f.u. The excess energy over the best structure of this formula in the dataset comes out at 4.6 kJ per mole of atoms.

---

Below is crystalline Nb2ZnPt at its relaxed geometry, with properties calculated at the PBE level.

Cell: 4.0052 4.0052 16.8275 Å, 90.00 90.00 120.00°
Sites, in units of the cell vectors:
1 Nb 0.0000 0.0000 0.0000
2 Nb 0.0000 0.0000 0.1799
3 Nb 0.3333 0.6667 0.6667
4 Nb 0.3333 0.6667 0.8465
5 Nb 0.6667 0.3333 0.3333
6 Nb 0.6667 0.3333 0.5132
7 Zn 0.0000 0.0000 0.7579
8 Zn 0.3333 0.6667 0.4246
9 Zn 0.6667 0.3333 0.0912
10 Pt 0.0000 0.0000 0.5938
11 Pt 0.3333 0.6667 0.2604
12 Pt 0.6667 0.3333 0.9271

Properties
The value obtained for the total magnetic moment is 0.0 μB/cell. The calculated formation energy is 0.219 eV/atom. The volume comes out at 78 Å³/f.u.

---

Below is crystalline CeHfMg14 at its relaxed geometry, with properties calculated at the PBE level.

Cell: 10.4840 6.5375 6.5375 Å, 56.71 90.00 90.00°
Sites, in units of the cell vectors:
1 Ce 0.0000 0.0000 0.0000
2 Hf 0.0000 0.4890 0.4890
3 Mg 0.0000 0.4982 0.9968
4 Mg 0.0000 0.9968 0.4982
5 Mg 0.2424 0.6514 0.6514
6 Mg 0.2536 0.1568 0.6521
7 Mg 0.2536 0.6521 0.1568
8 Mg 0.2589 0.1580 0.1580
9 Mg 0.5000 0.4955 0.4955
10 Mg 0.5000 0.4966 0.9919
11 Mg 0.5000 0.9919 0.4966
12 Mg 0.5000 0.9937 0.9937
13 Mg 0.7411 0.1580 0.1580
14 Mg 0.7464 0.1568 0.6521
15 Mg 0.7464 0.6521 0.1568
16 Mg 0.7576 0.6514 0.6514

Properties
The value obtained for the total magnetic moment is 1.5 μB/cell. The calculated formation energy is 0.065 eV/atom. The volume comes out at 375 Å³/f.u. The excess energy over the best structure of this formula in the dataset comes out at 0.0 kJ per mole of atoms.

---

Below is crystalline Nd5Sm2Ho3 at its relaxed geometry, with properties calculated at the PBE level.

Cell: 12.4865 12.4865 12.4865 Å, 135.48 55.85 148.04°
Sites, in units of the cell vectors:
1 Nd 0.0024 0.7500 0.2524
2 Nd 0.1264 0.0969 0.2233
3 Nd 0.2500 0.2500 0.0000
4 Nd 0.3736 0.5969 0.9705
5 Nd 0.4976 0.7500 0.7476
6 Nd 0.5024 0.2500 0.2524
7 Nd 0.6264 0.4031 0.0295
8 Nd 0.7500 0.7500 0.0000
9 Nd 0.8736 0.9031 0.7767
10 Nd 0.9976 0.2500 0.7476
11 Sm 0.1219 0.4041 0.5261
12 Sm 0.3781 0.9041 0.2822
13 Sm 0.6219 0.0959 0.7178
14 Sm 0.8781 0.5959 0.4739
15 Ho 0.1196 0.7470 0.8666
16 Ho 0.2500 0.7500 0.5000
17 Ho 0.3804 0.2470 0.6273
18 Ho 0.6196 0.7530 0.3727
19 Ho 0.7500 0.2500 0.5000
20 Ho 0.8804 0.2530 0.1334

Properties
The value obtained for the total magnetic moment is 0.0 μB/cell. The calculated formation energy is 0.367 eV/atom. The volume comes out at 359 Å³/f.u. The excess energy over the best structure of this formula in the dataset comes out at 17.7 kJ per mole of atoms.

---

Below is crystalline Tc2Os5Ru4 at its relaxed geometry, with properties calculated at the PBE level.

Cell: 4.7124 6.0789 6.0890 Å, 107.55 97.63 104.76°
Sites, in units of the cell vectors:
1 Tc 0.0935 0.3631 0.3181
2 Tc 0.9065 0.6369 0.6819
3 Os 0.0000 0.0000 0.5000
4 Os 0.2739 0.0941 0.9548
5 Os 0.3633 0.4531 0.7727
6 Os 0.6367 0.5469 0.2273
7 Os 0.7261 0.9059 0.0452
8 Ru 0.1818 0.7273 0.1365
9 Ru 0.4550 0.8185 0.5912
10 Ru 0.5450 0.1815 0.4088
11 Ru 0.8182 0.2727 0.8635

Properties
The value obtained for the total magnetic moment is 0.0 μB/cell. The calculated formation energy is 0.091 eV/atom. The volume comes out at 157 Å³/f.u.

---

Below is crystalline Dy12ScNi6 at its relaxed geometry, with properties calculated at the PBE level.

Cell: 8.4674 8.4674 8.4674 Å, 109.47 109.47 109.47°
Sites, in units of the cell vectors:
1 Dy 0.1230 0.8154 0.3075
2 Dy 0.1846 0.3075 0.4921
3 Dy 0.1846 0.6925 0.8770
4 Dy 0.3075 0.1230 0.8154
5 Dy 0.3075 0.4921 0.1846
6 Dy 0.4921 0.1846 0.3075
7 Dy 0.5079 0.8154 0.6925
8 Dy 0.6925 0.5079 0.8154
9 Dy 0.6925 0.8770 0.1846
10 Dy 0.8154 0.3075 0.1230
11 Dy 0.8154 0.6925 0.5079
12 Dy 0.8770 0.1846 0.6925
13 Sc 0.0000 0.0000 0.0000
14 Ni 0.1232 0.6232 0.5000
15 Ni 0.3768 0.5000 0.8768
16 Ni 0.5000 0.1232 0.6232
17 Ni 0.5000 0.8768 0.3768
18 Ni 0.6232 0.5000 0.1232
19 Ni 0.8768 0.3768 0.5000

Properties
The value obtained for the total magnetic moment is 1.8 μB/cell. The calculated formation energy is -0.244 eV/atom. The volume comes out at 467 Å³/f.u.

---

Below is crystalline Ca2PaTlO6 at its relaxed geometry, with properties calculated at the PBE level.

Cell: 5.6723 5.6723 5.3798 Å, 90.00 90.00 90.00°
Sites, in units of the cell vectors:
1 Ca 0.0000 0.5000 0.0000
2 Ca 0.5000 0.0000 0.0000
3 Pa 0.0000 0.0000 0.6101
4 Tl 0.5000 0.5000 0.5785
5 O 0.0000 0.0000 0.2215
6 O 0.2448 0.2448 0.7629
7 O 0.2448 0.7552 0.7629
8 O 0.5000 0.5000 0.1926
9 O 0.7552 0.2448 0.7629
10 O 0.7552 0.7552 0.7629

Properties
The value obtained for the formation energy without anion corrections is -2.427 eV per atom. The value obtained for the total magnetic moment is 0.0 μB/cell. The volume comes out at 173 Å³/f.u.

---

Below is crystalline Cs2KGe2Te4 at its relaxed geometry, with properties calculated at the PBE level.

Cell: 9.4929 9.4929 8.4055 Å, 109.56 109.56 33.29°
Sites, in units of the cell vectors:
1 Cs 0.1330 0.1330 0.0601
2 Cs 0.8670 0.8670 0.9399
3 K 0.0000 0.0000 0.5000
4 Ge 0.3228 0.3228 0.4965
5 Ge 0.6772 0.6772 0.5035
6 Te 0.2087 0.2087 0.6467
7 Te 0.4597 0.4597 0.7507
8 Te 0.5403 0.5403 0.2493
9 Te 0.7913 0.7913 0.3533

Properties
The value obtained for the formation energy without anion corrections is -0.622 eV per atom. The value obtained for the total magnetic moment is 0.0 μB/cell. The volume comes out at 390 Å³/f.u.